VASP calculation (GGA-PBE) on a geometry-optimized PmGa4PdRh2 structure.

Results
The calculation puts the volume at 138.70 Å³ per cell. The value obtained for the density of states at the Fermi level is 5.1 states/eV/f.u. For the theoretical density, the calculation gives 8.8 g cm⁻³. As for the raw total energy: -5.2646 eV/atom.

Unit cell a=9.0944 b=9.0944 c=9.0944 alpha=27.20 beta=27.20 gamma=27.20
With the nearest neighbours (Å) after each atom.
Atoms (fractional coordinates):
Pm 0.0000 0.0000 0.0000  8 Ga 3.02-3.39
Ga 0.1290 0.1290 0.1290  4 Rh 2.57-2.69, 3 Pd 2.66
Ga 0.3999 0.3999 0.3999  1 Pd 2.63, 3 Rh 2.64
Ga 0.6001 0.6001 0.6001  1 Pd 2.63, 3 Rh 2.64
Ga 0.8710 0.8710 0.8710  4 Rh 2.57-2.69, 3 Pd 2.66
Pd 0.5000 0.5000 0.5000  8 Ga 2.63-2.66
Rh 0.2315 0.2315 0.2315  7 Ga 2.57-2.69
Rh 0.7685 0.7685 0.7685  7 Ga 2.57-2.69